DFT (PBE-GGA) results for PaBr3F after structural relaxation. Values from VASP.

Space-group type   Cmcm, No. 63
Electronic total energy   -52.442 eV/cell
Formation energy without anion corrections   -1.967 eV/atom
Crystal system   orthorhombic

```
&SYSTEM
  ibrav = 0, nat = 10, ntyp = 3
/
ATOMIC_SPECIES
Pa 231.04 Pa.upf
Br 79.90 Br.upf
F 19.00 F.upf
CELL_PARAMETERS angstrom
5.791 0.000 0.000
-2.895 6.601 0.000
0.000 0.000 9.052
ATOMIC_POSITIONS angstrom
Pa 2.895 0.824 2.263
Pa 0.000 5.777 6.789
Br 0.000 4.967 0.553
Br 2.895 1.634 8.499
Br 0.000 4.967 3.973
F 0.000 3.739 6.789
Br 2.895 5.912 6.789
F 2.895 2.862 2.263
Br 0.000 0.689 2.263
Br 2.895 1.634 5.079
```

***

DFT (PBE-GGA) results for PaBrF4 after structural relaxation. Values from VASP.

Space-group type   Pmma, No. 51
Electronic total energy   -75.624 eV/cell
Formation energy without anion corrections   -3.193 eV/atom
Crystal system   orthorhombic

```
&SYSTEM
  ibrav = 0, nat = 12, ntyp = 3
/
ATOMIC_SPECIES
Br 79.90 Br.upf
F 19.00 F.upf
Pa 231.04 Pa.upf
CELL_PARAMETERS angstrom
-1.861 1.236 2.865
-2.197 -6.971 1.580
6.391 -0.977 4.573
ATOMIC_POSITIONS angstrom
Br 0.542 -3.595 1.903
F 0.023 -5.086 4.512
Pa -0.256 -6.127 2.477
F -2.030 -4.772 3.043
F 0.577 0.087 2.641
F 4.363 -1.941 5.975
Pa 4.450 -1.821 3.677
F 0.000 0.000 0.000
Br 3.652 -4.354 4.251
F 2.310 -1.627 4.506
F 3.195 -0.489 2.287
F 1.756 -6.799 6.378
```